1.
## MgCrN2 (PBE-GGA)

Data for MgCrN2 after structural relaxation.

Output
formation energy (no corrections): -0.588 eV per atom

Unit cell a=5.5272 b=5.5272 c=5.5272 alpha=130.69 beta=130.69 gamma=72.30
With the nearest neighbours (Å) after each atom.
Element x y z (fractional)
Mg: 0.0000 0.0000 0.0000  4 N 2.11
Mg: 0.7500 0.2500 0.5000  4 N 2.11
Cr: 0.2500 0.7500 0.5000  4 N 1.86
Cr: 0.5000 0.5000 0.0000  4 N 1.86
N: 0.1709 0.6250 0.0459  2 Cr 1.86
N: 0.3750 0.4209 0.5459  2 Cr 1.86
N: 0.5791 0.1250 0.9541  2 Cr 1.86
N: 0.8750 0.8291 0.4541  2 Cr 1.86

=====

2.
## MgCrN2 (PBE-GGA)

Data for MgCrN2 after structural relaxation.

Output
formation energy (no corrections): -0.632 eV per atom

Unit cell a=5.6509 b=6.5627 c=5.1353 alpha=90.00 beta=90.00 gamma=90.00
With the nearest neighbours (Å) after each atom.
Element x y z (fractional)
Mg: 0.0917 0.1226 0.0000  4 N 2.09-2.14
Mg: 0.4083 0.6226 0.5000  4 N 2.09-2.14
Mg: 0.5917 0.3774 0.0000  4 N 2.09-2.14
Mg: 0.9083 0.8774 0.5000  4 N 2.09-2.14
Cr: 0.0749 0.6286 0.0093  4 N 1.85-1.88
Cr: 0.4251 0.1286 0.5093  4 N 1.85-1.88
Cr: 0.5749 0.8714 0.0093  4 N 1.85-1.88
Cr: 0.9251 0.3714 0.5093  4 N 1.85-1.88
N: 0.0591 0.6045 0.3685  2 Cr 1.85
N: 0.1047 0.1435 0.4151  2 Cr 1.87-1.88
N: 0.3953 0.6435 0.9151  2 Cr 1.87-1.88
N: 0.4409 0.1045 0.8685  2 Cr 1.85
N: 0.5591 0.8955 0.3685  2 Cr 1.85
N: 0.6047 0.3565 0.4151  2 Cr 1.87-1.88
N: 0.8953 0.8565 0.9151  2 Cr 1.87-1.88
N: 0.9409 0.3955 0.8685  2 Cr 1.85

=====

3.
## Mg2CrN3 (PBE-GGA)

Data for Mg2CrN3 after structural relaxation.

Output
formation energy (no corrections): -0.694 eV per atom

Unit cell a=5.7702 b=5.7702 c=5.0113 alpha=90.00 beta=90.00 gamma=60.44
With the nearest neighbours (Å) after each atom.
Element x y z (fractional)
Mg: 0.0082 0.6671 0.5000  4 N 2.09-2.15
Mg: 0.3329 0.9918 0.5000  4 N 2.09-2.15
Mg: 0.6671 0.0082 0.0000  4 N 2.09-2.15
Mg: 0.9918 0.3329 0.0000  4 N 2.09-2.15
Cr: 0.3304 0.6696 0.0072  4 N 1.76-1.86
Cr: 0.6696 0.3304 0.5072  4 N 1.76-1.86
N: 0.0350 0.6667 0.9279  1 Cr 1.76
N: 0.3333 0.9650 0.9279  1 Cr 1.76
N: 0.3717 0.6283 0.3728  2 Cr 1.85-1.86
N: 0.6283 0.3717 0.8728  2 Cr 1.85-1.86
N: 0.6667 0.0350 0.4279  1 Cr 1.76
N: 0.9650 0.3333 0.4279  1 Cr 1.76

=====

4.
## MgCrN2 (PBE-GGA)

Data for MgCrN2 after structural relaxation.

Output
formation energy (no corrections): 0.333 eV per atom

Unit cell a=6.1336 b=6.1336 c=6.1336 alpha=29.29 beta=29.29 gamma=29.29
With the nearest neighbours (Å) after each atom.
Element x y z (fractional)
Mg: 0.0000 0.0000 0.0000  6 N 2.16
Cr: 0.5000 0.5000 0.5000  2 N 1.72
N: 0.4021 0.4021 0.4021  1 Cr 1.72
N: 0.5979 0.5979 0.5979  1 Cr 1.72

=====

5.
## Mg2CrN2 (PBE-GGA)

Data for Mg2CrN2 after structural relaxation.

Output
formation energy (no corrections): -0.518 eV per atom

Unit cell a=5.4414 b=5.4414 c=6.0429 alpha=114.22 beta=114.22 gamma=48.36
With the nearest neighbours (Å) after each atom.
Element x y z (fractional)
Mg: 0.0220 0.0220 0.2591  4 N 2.12-2.24
Mg: 0.3244 0.3244 0.8896  5 N 2.23-2.36
Mg: 0.6756 0.6756 0.1104  5 N 2.23-2.36
Mg: 0.9780 0.9780 0.7409  4 N 2.12-2.24
Cr: 0.3612 0.3612 0.3717  3 N 1.79-1.92
Cr: 0.6388 0.6388 0.6283  3 N 1.79-1.92
N: 0.1788 0.1788 0.1090  1 Cr 1.79
N: 0.4869 0.4869 0.7224  2 Cr 1.83-1.92
N: 0.5131 0.5131 0.2776  2 Cr 1.83-1.92
N: 0.8212 0.8212 0.8910  1 Cr 1.79

=====

6.
## MgCr2N2 (PBE-GGA)

Data for MgCr2N2 after structural relaxation.

Output
formation energy (no corrections): 0.127 eV per atom

Unit cell a=3.6944 b=3.6944 c=5.4955 alpha=90.00 beta=90.00 gamma=90.00
With the nearest neighbours (Å) after each atom.
Element x y z (fractional)
Mg: 0.0000 0.0000 0.0000  4 N 2.23
Cr: 0.5000 0.5000 0.2505  2 N 1.85
Cr: 0.5000 0.5000 0.7495  2 N 1.85
N: 0.0000 0.5000 0.7727  2 Cr 1.85
N: 0.5000 0.0000 0.2273  2 Cr 1.85

=====

7.
## MgCr2N (PBE-GGA)

Data for MgCr2N after structural relaxation.

Output
polymorph energy (0 for the lowest one): 1186 meV per atom
formation energy (no corrections): 1.367 eV per atom

Unit cell a=4.1447 b=4.1447 c=4.1447 alpha=60.00 beta=60.00 gamma=60.00
With the nearest neighbours (Å) after each atom.
Element x y z (fractional)
Mg: 0.0000 0.0000 0.0000  8 Cr 2.54
Cr: 0.2500 0.2500 0.2500  4 N 2.54, 4 Mg 2.54
Cr: 0.7500 0.7500 0.7500  4 N 2.54, 4 Mg 2.54
N: 0.5000 0.5000 0.5000  8 Cr 2.54

=====

8.
## MgCrN2 (PBE-GGA)

Data for MgCrN2 after structural relaxation.

Output
formation energy (no corrections): 0.001 eV per atom

Unit cell a=6.2822 b=6.2822 c=6.2822 alpha=27.52 beta=27.52 gamma=27.52
With the nearest neighbours (Å) after each atom.
Element x y z (fractional)
Mg: 0.0000 0.0000 0.0000  2 N 2.00
Cr: 0.5000 0.5000 0.5000  6 N 2.01
N: 0.1102 0.1102 0.1102  1 Mg 2.00, 3 Cr 2.01
N: 0.8898 0.8898 0.8898  1 Mg 2.00, 3 Cr 2.01

=====

9.
## MgCrN3 (PBE-GGA)

Data for MgCrN3 after structural relaxation.

Output
formation energy (no corrections): 2.067 eV per atom

Unit cell a=3.7767 b=3.7767 c=3.7767 alpha=90.00 beta=90.00 gamma=90.00
With the nearest neighbours (Å) after each atom.
Element x y z (fractional)
Mg: 0.0000 0.0000 0.0000  6 N 1.89
Cr: 0.5000 0.5000 0.5000  12 N 2.67
N: 0.0000 0.0000 0.5000  2 Mg 1.89
N: 0.0000 0.5000 0.0000  2 Mg 1.89
N: 0.5000 0.0000 0.0000  2 Mg 1.89

=====

10.
## MgCr3N (PBE-GGA)

Data for MgCr3N after structural relaxation.

Output
polymorph energy (0 for the lowest one): 0 meV per atom
formation energy (no corrections): -0.046 eV per atom

Unit cell a=3.8772 b=3.8772 c=3.8772 alpha=90.00 beta=90.00 gamma=90.00
With the nearest neighbours (Å) after each atom.
Element x y z (fractional)
Mg: 0.0000 0.0000 0.0000  12 Cr 2.74
Cr: 0.0000 0.5000 0.5000  2 N 1.94
Cr: 0.5000 0.0000 0.5000  2 N 1.94
Cr: 0.5000 0.5000 0.0000  2 N 1.94
N: 0.5000 0.5000 0.5000  6 Cr 1.94

=====

11.
## MgCrN3 (PBE-GGA)

Data for MgCrN3 after structural relaxation.

Output
formation energy (no corrections): 0.291 eV per atom

Unit cell a=3.6956 b=3.6956 c=3.6956 alpha=90.00 beta=90.00 gamma=90.00
With the nearest neighbours (Å) after each atom.
Element x y z (fractional)
Mg: 0.0000 0.0000 0.0000  12 N 2.61
Cr: 0.5000 0.5000 0.5000  6 N 1.85
N: 0.0000 0.5000 0.5000  2 Cr 1.85
N: 0.5000 0.0000 0.5000  2 Cr 1.85
N: 0.5000 0.5000 0.0000  2 Cr 1.85

=====

12.
## MgCr3N (PBE-GGA)

Data for MgCr3N after structural relaxation.

Output
polymorph energy (0 for the lowest one): 2625 meV per atom
formation energy (no corrections): 2.579 eV per atom

Unit cell a=5.0162 b=5.0162 c=5.0162 alpha=90.00 beta=90.00 gamma=90.00
With the nearest neighbours (Å) after each atom.
Element x y z (fractional)
Mg: 0.0000 0.0000 0.0000  6 Cr 2.51
Cr: 0.0000 0.0000 0.5000  2 Mg 2.51
Cr: 0.0000 0.5000 0.0000  2 Mg 2.51
Cr: 0.5000 0.0000 0.0000  2 Mg 2.51
N: 0.5000 0.5000 0.5000  12 Cr 3.55